# 1
# GGA-PBE Li8ScAg6, optimized geometry
data_Li8ScAg6
_cell_length_a 7.8391
_cell_length_b 7.8391
_cell_length_c 16.3266
_cell_angle_alpha 90.00
_cell_angle_beta 90.00
_cell_angle_gamma 120.00
_space_group_name_H-M_alt 'R -3'
_space_group_IT_number 148
_space_group_name_Hall '-R 3'
loop_
_atom_site_label
_atom_site_type_symbol
_atom_site_fract_x
_atom_site_fract_y
_atom_site_fract_z
Li1 Li 0.0000 0.0000 0.2143
Li2 Li 0.9997 0.3180 0.6246
Sc1 Sc 0.0000 0.0000 0.5000
Ag1 Ag 0.0029 0.3053 0.1232
# Crystal system: trigonal
# Density: 4.3 Mg/m³
# DOS at the Fermi energy: 15.5 states/eV per cell
# VASP energy: -120.3 eV/cell

# 2
# GGA-PBE Li2ScAg, optimized geometry
data_Li2ScAg
_cell_length_a 2.973
_cell_length_b 5.014
_cell_length_c 5.133
_cell_angle_alpha 90.00
_cell_angle_beta 93.23
_cell_angle_gamma 90.00
_space_group_name_H-M_alt 'P 1 2/m 1'
_space_group_IT_number 10
loop_
_space_group_symop_operation_xyz
'x,y,z'
'-x,-y,-z'
'-x,y,-z'
'x,-y,z'
loop_
_atom_site_label
_atom_site_type_symbol
_atom_site_fract_x
_atom_site_fract_y
_atom_site_fract_z
Li1 Li 0.207 0.000 0.269
Sc1 Sc 0.500 0.500 0.000
Ag1 Ag 0.000 0.500 0.500
# Energy above the most stable polymorph in this dataset: 51 meV/atom
# Crystal system: monoclinic
# Density: 3.6 Mg/m³
# DOS at the Fermi energy: 2.4 states/eV per cell

# 3
# GGA-PBE LiScAg, optimized geometry
data_LiScAg
_cell_length_a 3.487
_cell_length_b 3.487
_cell_length_c 9.208
_cell_angle_alpha 90.00
_cell_angle_beta 90.00
_cell_angle_gamma 90.00
_space_group_name_H-M_alt 'I 4 m m'
_space_group_IT_number 107
_space_group_name_Hall 'I 4 -2'
loop_
_atom_site_label
_atom_site_type_symbol
_atom_site_fract_x
_atom_site_fract_y
_atom_site_fract_z
Li1 Li 0.000 0.000 0.000
Sc1 Sc 0.000 0.000 0.686
Ag1 Ag 0.000 0.000 0.356
# Energy above the most stable polymorph in this dataset: 42 meV/atom
# Crystal system: tetragonal
# Density: 4.7 Mg/m³
# DOS at the Fermi energy: 3.4 states/eV per cell